No. 1
Crystalline RbCdAs3 at its relaxed geometry, computed with PBE-GGA.

The density of states at the Fermi level comes out at 1.302 states/eV per atom. The value obtained for the energy is -7.82 eV per cell. For the formation enthalpy at 0 K, the calculation gives 1.60 eV per atom.

It has space group Pm-3m (No. 221), with a = 5.688 Å, b = 5.688 Å, c = 5.688 Å, α = 90.00°, β = 90.00° and γ = 90.00°. The asymmetric unit holds Rb at (0.000, 0.000, 0.000), Cd at (0.500, 0.500, 0.500) and As at (0.000, 0.000, 0.500).


No. 2
Crystalline Rb2CdAs2 at its relaxed geometry, computed with PBE-GGA.

The density of states at the Fermi level comes out at 0.218 states/eV per atom. The value obtained for the energy is -55.08 eV per cell. For the formation enthalpy at 0 K, the calculation gives -0.32 eV per atom.

It has space group C2/m (No. 12), with a = 11.863 Å, b = 5.269 Å, c = 11.486 Å, α = 90.00°, β = 118.77° and γ = 90.00°. The asymmetric unit holds Rb at (0.085, 0.000, 0.393), Rb at (0.175, 0.500, 0.197), Cd at (0.149, 0.500, 0.857), As at (0.085, 0.000, 0.957) and As at (0.111, 0.500, 0.601).


No. 3
Crystalline Rb2Cd2As at its relaxed geometry, computed with PBE-GGA.

The density of states at the Fermi level comes out at 0.214 states/eV per atom. The value obtained for the energy is -17.35 eV per cell. For the formation enthalpy at 0 K, the calculation gives -0.05 eV per atom.

It has space group I4/mmm (No. 139), with a = 7.148 Å, b = 7.148 Å, c = 8.248 Å, α = 90.00°, β = 90.00° and γ = 90.00°. The asymmetric unit holds Rb at (0.000, 0.500, 0.250), Cd at (0.000, 0.000, 0.176) and As at (0.000, 0.000, 0.500).


No. 4
Crystalline Rb2CdAs2 at its relaxed geometry, computed with PBE-GGA.

The density of states at the Fermi level comes out at 1.020 states/eV per atom. The value obtained for the energy is -25.04 eV per cell. For the formation enthalpy at 0 K, the calculation gives -0.07 eV per atom.

It has space group I4/mmm (No. 139), with a = 6.766 Å, b = 6.766 Å, c = 9.068 Å, α = 90.00°, β = 90.00° and γ = 90.00°. The asymmetric unit holds Rb at (0.000, 0.500, 0.250), Cd at (0.000, 0.000, 0.000) and As at (0.000, 0.000, 0.372).


No. 5
Crystalline Rb3Cd2As2 at its relaxed geometry, computed with PBE-GGA.

The density of states at the Fermi level comes out at 0.150 states/eV per atom. The value obtained for the energy is -64.02 eV per cell. For the formation enthalpy at 0 K, the calculation gives -0.28 eV per atom.

It has space group Pbcm (No. 57), with a = 6.818 Å, b = 9.875 Å, c = 14.729 Å, α = 90.00°, β = 90.00° and γ = 90.00°. The asymmetric unit holds Rb at (0.105, 0.152, 0.113), Rb at (0.333, 0.715, 0.750), Cd at (0.384, 0.017, 0.586), As at (0.200, 0.057, 0.750) and As at (0.410, 0.750, 0.000).


No. 6
Crystalline RbCd2AsRu at its relaxed geometry, computed with PBE-GGA.

The density of states at the Fermi level comes out at 0.330 states/eV per atom. The value obtained for the energy is -17.12 eV per cell. For the formation enthalpy at 0 K, the calculation gives -0.08 eV per atom.

It has space group P4/mmm (No. 123), with a = 5.385 Å, b = 5.385 Å, c = 4.685 Å, α = 90.00°, β = 90.00° and γ = 90.00°. The asymmetric unit holds Rb at (0.000, 0.000, 0.000), Cd at (0.000, 0.500, 0.500), As at (0.500, 0.500, 0.000) and Ru at (0.500, 0.500, 0.500).


No. 7
Crystalline Rb2CdAs2S6 at its relaxed geometry, computed with PBE-GGA.

The density of states at the Fermi level comes out at 0.004 states/eV per atom. The value obtained for the energy is -84.45 eV per cell. The formation energy from raw total energies is -0.48 eV/atom.

It has space group C2/m (No. 12), with a = 13.128 Å, b = 6.946 Å, c = 7.594 Å, α = 90.00°, β = 110.45° and γ = 90.00°. The asymmetric unit holds Rb at (0.208, 0.000, 0.201), Cd at (0.000, 0.000, 0.500), As at (0.024, 0.500, 0.182), S at (0.064, 0.239, 0.788) and S at (0.196, 0.500, 0.313).


No. 8
Crystalline Rb2CdAsS4 at its relaxed geometry, computed with PBE-GGA.

The density of states at the Fermi level comes out at 0.471 states/eV per atom. The value obtained for the energy is -230.33 eV per cell. The formation energy from raw total energies is -0.60 eV/atom.

It has space group Fddd (No. 70, origin choice 2), with a = 6.292 Å, b = 14.014 Å, c = 23.961 Å, α = 90.00°, β = 90.00° and γ = 90.00°. The asymmetric unit holds Rb at (0.125, 0.125, 0.306), Cd at (0.125, 0.125, 0.125), As at (0.125, 0.125, 0.625) and S at (0.098, 0.275, 0.823).


No. 9
Crystalline RbCdSbAs2 at its relaxed geometry, computed with PBE-GGA.

The density of states at the Fermi level comes out at 0.141 states/eV per atom. The value obtained for the energy is -64.61 eV per cell. The formation energy from raw total energies is -0.17 eV/atom.

It has space group C2/m (No. 12), with a = 15.897 Å, b = 4.314 Å, c = 9.935 Å, α = 90.00°, β = 93.84° and γ = 90.00°. The asymmetric unit holds Rb at (0.149, 0.000, 0.302), Cd at (0.202, 0.000, 0.932), Sb at (0.065, 0.500, 0.748), As at (0.111, 0.500, 0.014) and As at (0.158, 0.000, 0.661).


No. 10
Crystalline RbCd4Sb2As at its relaxed geometry, computed with PBE-GGA.

The density of states at the Fermi level comes out at 0.211 states/eV per atom. The value obtained for the energy is -19.11 eV per cell. The formation energy from raw total energies is -0.20 eV/atom.

It has space group P4/mmm (No. 123), with a = 4.722 Å, b = 4.722 Å, c = 11.065 Å, α = 90.00°, β = 90.00° and γ = 90.00°. The asymmetric unit holds Rb at (0.000, 0.000, 0.000), Cd at (0.000, 0.500, 0.343), Sb at (0.500, 0.500, 0.191) and As at (0.000, 0.000, 0.500).


No. 11
Crystalline RbCd4SbAs2 at its relaxed geometry, computed with PBE-GGA.

The density of states at the Fermi level comes out at 0.160 states/eV per atom. The value obtained for the energy is -19.74 eV per cell. The formation energy from raw total energies is -0.21 eV/atom.

It has space group P4/mmm (No. 123), with a = 4.608 Å, b = 4.608 Å, c = 11.066 Å, α = 90.00°, β = 90.00° and γ = 90.00°. The asymmetric unit holds Rb at (0.000, 0.000, 0.000), Cd at (0.000, 0.500, 0.323), Sb at (0.000, 0.000, 0.500) and As at (0.500, 0.500, 0.185).


No. 12
Crystalline RbCdAs2Se at its relaxed geometry, computed with PBE-GGA.

The density of states at the Fermi level comes out at 1.196 states/eV per atom. The value obtained for the energy is -7.81 eV per cell. The formation energy from raw total energies is 1.37 eV/atom.

It has space group P4/mmm (No. 123), with a = 5.789 Å, b = 5.789 Å, c = 5.824 Å, α = 90.00°, β = 90.00° and γ = 90.00°. The asymmetric unit holds Rb at (0.000, 0.000, 0.000), Cd at (0.500, 0.500, 0.500), As at (0.000, 0.500, 0.000) and Se at (0.000, 0.000, 0.500).


No. 13
Crystalline RbCdAsSe3 at its relaxed geometry, computed with PBE-GGA.

The value obtained for the energy is -40.97 eV per cell. The formation energy from raw total energies is -0.58 eV/atom.

It has space group P2_1/m (No. 11), with a = 9.175 Å, b = 4.163 Å, c = 10.411 Å, α = 90.00°, β = 108.72° and γ = 90.00°. The asymmetric unit holds Rb at (0.211, 0.250, 0.246), Cd at (0.099, 0.250, 0.619), As at (0.338, 0.750, 0.890), Se at (0.142, 0.250, 0.886), Se at (0.216, 0.750, 0.524) and Se at (0.460, 0.750, 0.134).


No. 14
Crystalline RbCdAs2Se at its relaxed geometry, computed with PBE-GGA.

The density of states at the Fermi level comes out at 0.887 states/eV per atom. The value obtained for the energy is -13.40 eV per cell. The formation energy from raw total energies is 0.25 eV/atom.

It has space group P4/mmm (No. 123), with a = 5.285 Å, b = 5.285 Å, c = 5.576 Å, α = 90.00°, β = 90.00° and γ = 90.00°. The asymmetric unit holds Rb at (0.000, 0.000, 0.000), Cd at (0.500, 0.500, 0.500), As at (0.000, 0.500, 0.500) and Se at (0.500, 0.500, 0.000).


No. 15
Crystalline Rb2CdAsSe4 at its relaxed geometry, computed with PBE-GGA.

The density of states at the Fermi level comes out at 0.603 states/eV per atom. The value obtained for the energy is -210.65 eV per cell. The formation energy from raw total energies is -0.61 eV/atom.

It has space group Fddd (No. 70, origin choice 2), with a = 6.524 Å, b = 14.332 Å, c = 24.746 Å, α = 90.00°, β = 90.00° and γ = 90.00°. The asymmetric unit holds Rb at (0.125, 0.125, 0.307), Cd at (0.125, 0.125, 0.125), As at (0.125, 0.125, 0.625) and Se at (0.101, 0.272, 0.820).


No. 16
Crystalline RbCdSiAs2 at its relaxed geometry, computed with PBE-GGA.

The density of states at the Fermi level comes out at 0.374 states/eV per atom. The value obtained for the energy is -69.96 eV per cell. The formation energy from raw total energies is -0.18 eV/atom.

It has space group Cmme (No. 67), with a = 6.180 Å, b = 14.268 Å, c = 7.071 Å, α = 90.00°, β = 90.00° and γ = 90.00°. The asymmetric unit holds Rb at (0.000, 0.250, 0.230), Cd at (0.000, 0.000, 0.500), Si at (0.250, 0.000, 0.000) and As at (0.000, 0.096, 0.815).


No. 17
Crystalline RbCdSi2As at its relaxed geometry, computed with PBE-GGA.

The density of states at the Fermi level comes out at 0.828 states/eV per atom. The value obtained for the energy is -13.50 eV per cell. The formation energy from raw total energies is 0.78 eV/atom.

It has space group P4/mmm (No. 123), with a = 5.233 Å, b = 5.233 Å, c = 5.419 Å, α = 90.00°, β = 90.00° and γ = 90.00°. The asymmetric unit holds Rb at (0.000, 0.000, 0.000), Cd at (0.500, 0.500, 0.500), Si at (0.000, 0.500, 0.500) and As at (0.500, 0.500, 0.000).


No. 18
Crystalline Rb2Cd3SnAs4 at its relaxed geometry, computed with PBE-GGA.

The density of states at the Fermi level comes out at 0.123 states/eV per atom. The value obtained for the energy is -60.92 eV per cell. For the formation enthalpy at 0 K, the calculation gives -0.32 eV per atom.

It has space group Cm (No. 8), with a = 18.867 Å, b = 4.524 Å, c = 7.807 Å, α = 90.00°, β = 114.21° and γ = 90.00°. The asymmetric unit holds Rb at (0.000, 0.000, 0.000), Rb at (0.005, 0.500, 0.494), Cd at (0.206, 0.500, 0.380), Cd at (0.324, 0.000, 0.635), Cd at (0.326, 0.500, 0.167), Sn at (0.195, 0.000, 0.845), As at (0.145, 0.000, 0.470), As at (0.147, 0.500, 0.976), As at (0.351, 0.000, 0.009) and As at (0.372, 0.500, 0.535).


No. 19
Crystalline RbCdSnAs at its relaxed geometry, computed with PBE-GGA.

The density of states at the Fermi level comes out at 0.437 states/eV per atom. The value obtained for the energy is -22.03 eV per cell. For the formation enthalpy at 0 K, the calculation gives -0.12 eV per atom.

It has space group Cm (No. 8), with a = 5.568 Å, b = 5.568 Å, c = 7.769 Å, α = 90.00°, β = 90.22° and γ = 90.00°. The asymmetric unit holds Rb at (0.000, 0.000, 0.000), Cd at (0.000, 0.000, 0.545), Sn at (0.002, 0.500, 0.340) and As at (0.498, 0.000, 0.684).


No. 20
Crystalline Rb2SrCdAs2 at its relaxed geometry, computed with PBE-GGA.

The value obtained for the energy is -69.69 eV per cell. For the formation enthalpy at 0 K, the calculation gives -0.60 eV per atom.

It has space group Ibam (No. 72), with a = 7.229 Å, b = 16.033 Å, c = 7.315 Å, α = 90.00°, β = 90.00° and γ = 90.00°. The asymmetric unit holds Rb at (0.210, 0.182, 0.000), Sr at (0.000, 0.500, 0.250), Cd at (0.000, 0.000, 0.250) and As at (0.226, 0.094, 0.500).